Entry 1:
DFT (PBE) results for MnBeIr2 after structural relaxation.

Cell: 6.357 6.357 6.357 Å, 133.24 133.24 68.27°
Sites, in units of the cell vectors:
Mn: 0.000 0.000 0.000
Mn: 0.750 0.250 0.500
Be: 0.250 0.750 0.500
Be: 0.500 0.500 0.000
Ir: 0.142 0.625 0.017
Ir: 0.375 0.392 0.517
Ir: 0.608 0.125 0.983
Ir: 0.875 0.858 0.483

D(E_F) in states/eV per cell: 6.32
Magnetic moment in μB per formula unit: 0.56
ΔE_f in eV/atom: 0.786
E in eV/atom: -6.87
Symmetry: I-42d (122)

Entry 2:
DFT (PBE) results for PmSm2WN4 after structural relaxation.

Cell: 6.246 6.246 12.243 Å, 90.00 90.00 147.89°
Sites, in units of the cell vectors:
Pm: 0.094 0.906 0.750
Pm: 0.906 0.094 0.250
Sm: 0.369 0.631 0.538
Sm: 0.369 0.631 0.962
Sm: 0.631 0.369 0.038
Sm: 0.631 0.369 0.462
W: 0.165 0.835 0.250
W: 0.835 0.165 0.750
N: 0.000 0.000 0.000
N: 0.000 0.000 0.500
N: 0.266 0.734 0.129
N: 0.266 0.734 0.371
N: 0.436 0.564 0.750
N: 0.564 0.436 0.250
N: 0.734 0.266 0.629
N: 0.734 0.266 0.871

D(E_F) in states/eV per cell: 4.98
Magnetic moment in μB per formula unit: 0.00
E in eV/atom: -8.56
Symmetry: Cmcm (63)
Formation energy from raw total energies in eV per atom: -1.0034

Entry 3:
DFT (PBE) results for TbBC after structural relaxation.

Cell: 3.030 3.030 4.080 Å, 90.00 90.00 120.00°
Sites, in units of the cell vectors:
Tb: 0.000 0.000 0.000
B: 0.667 0.333 0.500
C: 0.333 0.667 0.500

D(E_F) in states/eV per cell: 0.53
Polymorph energy (0 for the lowest one) in eV per atom: 0.1366
Magnetic moment in μB per formula unit: 0.00
ΔE_f in eV/atom: -0.297
E in eV/atom: -7.14
Symmetry: P-6m2 (187)

Entry 4:
DFT (PBE) results for Ce5TmIr6 after structural relaxation.

Cell: 6.969 6.969 6.959 Å, 99.59 99.59 120.13°
Sites, in units of the cell vectors:
Ce: 0.000 0.000 0.000
Ce: 0.165 0.835 0.500
Ce: 0.331 0.669 0.000
Ce: 0.669 0.331 0.000
Ce: 0.835 0.165 0.500
Tm: 0.500 0.500 0.500
Ir: 0.083 0.418 0.251
Ir: 0.251 0.251 0.753
Ir: 0.418 0.083 0.251
Ir: 0.582 0.917 0.749
Ir: 0.749 0.749 0.247
Ir: 0.917 0.582 0.749

D(E_F) in states/eV per cell: 9.99
Magnetic moment in μB per formula unit: 0.00
ΔE_f in eV/atom: -0.692
E in eV/atom: -7.97
Symmetry: C2/m (12)

Entry 5:
DFT (PBE) results for KAgW after structural relaxation.

Cell: 2.891 2.891 8.624 Å, 90.00 90.00 120.00°
Sites, in units of the cell vectors:
K: 0.000 0.000 0.000
Ag: 0.667 0.333 0.646
W: 0.333 0.667 0.363

D(E_F) in states/eV per cell: 3.16
Polymorph energy (0 for the lowest one) in eV per atom: 0.2129
Magnetic moment in μB per formula unit: 0.00
ΔE_f in eV/atom: 1.059
E in eV/atom: -4.57
Symmetry: P3m1 (156)

Entry 6:
DFT (PBE) results for AlIn2Sb after structural relaxation.

Cell: 3.306 5.133 6.003 Å, 90.00 98.64 90.00°
Sites, in units of the cell vectors:
Al: 0.000 0.000 0.000
In: 0.232 0.500 0.759
In: 0.768 0.500 0.241
Sb: 0.500 0.000 0.500

D(E_F) in states/eV per cell: 1.31
Polymorph energy (0 for the lowest one) in eV per atom: 0.0905
Magnetic moment in μB per formula unit: 0.00
E in eV/atom: -3.17
Symmetry: P2/m (10)
Formation energy from raw total energies in eV per atom: 0.1624

Entry 7:
DFT (PBE) results for Ca8Hg2H after structural relaxation.

Cell: 9.509 9.509 9.906 Å, 96.68 96.68 23.68°
Sites, in units of the cell vectors:
Ca: 0.008 0.008 0.186
Ca: 0.213 0.213 0.333
Ca: 0.345 0.345 0.988
Ca: 0.406 0.406 0.455
Ca: 0.594 0.594 0.545
Ca: 0.655 0.655 0.012
Ca: 0.787 0.787 0.667
Ca: 0.992 0.992 0.814
Hg: 0.172 0.172 0.769
Hg: 0.828 0.828 0.231
H: 0.500 0.500 0.000

D(E_F) in states/eV per cell: 9.91
Magnetic moment in μB per formula unit: 0.00
E in eV/atom: -2.06
Symmetry: C2/m (12)

Entry 8:
DFT (PBE) results for CaYCuPd after structural relaxation.

Cell: 4.349 5.783 5.783 Å, 39.34 90.00 90.00°
Sites, in units of the cell vectors:
Ca: 0.000 0.000 0.000
Y: 0.500 0.720 0.720
Cu: 0.500 0.427 0.427
Pd: 0.000 0.280 0.280

D(E_F) in states/eV per cell: 2.67
Polymorph energy (0 for the lowest one) in eV per atom: 0.0000
Magnetic moment in μB per formula unit: 0.00
ΔE_f in eV/atom: -0.499
E in eV/atom: -4.94
Symmetry: Amm2 (38)

Entry 9:
DFT (PBE) results for TlCd2As after structural relaxation.

Cell: 3.292 3.292 9.088 Å, 90.00 90.00 97.84°
Sites, in units of the cell vectors:
Tl: 0.000 0.000 0.000
Cd: 0.500 0.500 0.276
Cd: 0.500 0.500 0.724
As: 0.000 0.000 0.500

D(E_F) in states/eV per cell: 1.29
Polymorph energy (0 for the lowest one) in eV per atom: 0.1273
Magnetic moment in μB per formula unit: 0.00
ΔE_f in eV/atom: 0.141
E in eV/atom: -2.07
Symmetry: Cmmm (65)

Entry 10:
DFT (PBE) results for FeRuPb2 after structural relaxation.

Cell: 3.203 3.203 8.395 Å, 90.00 90.00 90.00°
Sites, in units of the cell vectors:
Fe: 0.000 0.000 0.000
Ru: 0.500 0.500 0.858
Pb: 0.000 0.000 0.624
Pb: 0.500 0.500 0.228

D(E_F) in states/eV per cell: 3.68
Polymorph energy (0 for the lowest one) in eV per atom: 0.0000
Magnetic moment in μB per formula unit: 2.91
ΔE_f in eV/atom: 0.314
E in eV/atom: -5.97
Symmetry: P4mm (99)

Entry 11:
DFT (PBE) results for SrOsPb after structural relaxation.

Cell: 4.679 4.679 4.368 Å, 90.00 90.00 120.00°
Sites, in units of the cell vectors:
Sr: 0.000 0.000 0.000
Os: 0.667 0.333 0.500
Pb: 0.333 0.667 0.500

D(E_F) in states/eV per cell: 3.42
Polymorph energy (0 for the lowest one) in eV per atom: 0.0608
Magnetic moment in μB per formula unit: 0.02
ΔE_f in eV/atom: 0.479
E in eV/atom: -5.06
Symmetry: P-6m2 (187)

Entry 12:
DFT (PBE) results for Y4TcMo after structural relaxation.

Cell: 5.912 5.912 5.912 Å, 60.00 60.00 60.00°
Sites, in units of the cell vectors:
Y: 0.125 0.125 0.125
Y: 0.125 0.125 0.625
Y: 0.125 0.625 0.125
Y: 0.625 0.125 0.125
Tc: 0.500 0.500 0.500
Mo: 0.750 0.750 0.750

D(E_F) in states/eV per cell: 10.34
Magnetic moment in μB per formula unit: 0.00
ΔE_f in eV/atom: 1.177
E in eV/atom: -6.67
Symmetry: F-43m (216)